Crystalline ZrScNb2 at its relaxed geometry. Source: Alexandria, functional PBE.

abc: 7.585 7.585 6.106
angles: 51.61 51.61 90.00
Fractional coordinates of all 8 atoms:
1 Sc 0.500 0.500 0.000
2 Sc 0.250 0.750 0.500
3 Nb 0.623 0.125 0.250
4 Nb 0.127 0.625 0.250
5 Nb 0.375 0.377 0.750
6 Nb 0.875 0.873 0.750
7 Zr 0.000 0.000 0.000
8 Zr 0.750 0.250 0.500

Output
energy of formation from the pure elements: 611.6 meV/atom
SG: I-42d (122)
polymorph energy (0 for the lowest one): 9.86 kcal/mol of atoms

***

Crystalline SrTlAuS2 at its relaxed geometry. Source: Alexandria, functional PBE.

abc: 5.611 7.116 8.213
angles: 101.93 90.00 90.00
Fractional coordinates of all 10 atoms:
1 Sr 0.492 0.000 0.250
2 Sr 0.508 0.000 0.750
3 Tl 0.104 0.500 0.750
4 Tl 0.896 0.500 0.250
5 Au 0.000 0.000 0.000
6 Au 0.000 0.000 0.500
7 S 0.721 0.752 0.960
8 S 0.721 0.248 0.540
9 S 0.279 0.752 0.460
10 S 0.279 0.248 0.040

Output
formation energy without anion corrections: -4.61 eV per formula unit
SG: P2/c (13)

***

Crystalline LaSm4DyHo2 at its relaxed geometry. Source: Alexandria, functional PBE.

abc: 3.618 6.225 11.974
angles: 79.85 90.00 90.00
Fractional coordinates of all 8 atoms:
1 La 0.000 0.500 0.500
2 Sm 0.000 0.751 0.752
3 Sm 0.000 0.249 0.248
4 Sm 0.500 0.751 0.246
5 Sm 0.500 0.249 0.754
6 Dy 0.500 0.500 0.000
7 Ho 0.000 0.000 0.000
8 Ho 0.500 0.000 0.500

Output
energy of formation from the pure elements: 20.3 meV/atom
SG: P2/m (10)

***

Crystalline CaZn3Ge at its relaxed geometry. Source: Alexandria, functional PBE.

abc: 4.925 4.925 4.925
angles: 90.00 90.00 90.00
Fractional coordinates of all 5 atoms:
1 Ge 0.000 0.000 0.000
2 Ca 0.500 0.500 0.500
3 Zn 0.000 0.500 0.000
4 Zn 0.000 0.000 0.500
5 Zn 0.500 0.000 0.000

Output
energy of formation from the pure elements: 169.2 meV/atom
SG: Pm-3m (221)
polymorph energy (0 for the lowest one): 0.00 kcal/mol of atoms

***

Crystalline Ca2AgOsS at its relaxed geometry. Source: Alexandria, functional PBE.

abc: 5.563 4.829 5.563
angles: 90.00 90.00 90.00
Fractional coordinates of all 5 atoms:
1 Ca 0.000 0.000 0.500
2 Ca 0.500 0.000 0.000
3 Os 0.000 0.500 0.000
4 S 0.500 0.500 0.500
5 Ag 0.000 0.000 0.000

Output
formation energy without anion corrections: 3.43 eV per formula unit
SG: P4/mmm (123)

***

Crystalline Pm2ZnGa4Pt3 at its relaxed geometry. Source: Alexandria, functional PBE.

abc: 4.255 4.255 10.659
angles: 90.00 90.00 90.00
Fractional coordinates of all 10 atoms:
1 Pm 0.500 0.000 0.246
2 Pm 0.000 0.500 0.754
3 Zn 0.500 0.500 0.500
4 Ga 0.500 0.500 0.000
5 Ga 0.000 0.000 0.000
6 Ga 0.500 0.000 0.634
7 Ga 0.000 0.500 0.366
8 Pt 0.000 0.000 0.500
9 Pt 0.500 0.000 0.867
10 Pt 0.000 0.500 0.133

Output
energy of formation from the pure elements: -865.3 meV/atom
SG: P-4m2 (115)

***

Crystalline MnCrCo at its relaxed geometry. Source: Alexandria, functional PBE.

abc: 5.763 5.763 2.449
angles: 77.73 77.74 24.53
Fractional coordinates of all 3 atoms:
1 Co 0.998 0.998 0.002
2 Cr 0.662 0.662 0.338
3 Mn 0.339 0.339 0.661

Output
energy of formation from the pure elements: 86.8 meV/atom
SG: I4mm (107)
polymorph energy (0 for the lowest one): 0.00 kcal/mol of atoms

***

Crystalline Sm8Si3Te4S at its relaxed geometry. Source: Alexandria, functional PBE.

abc: 8.546 8.738 8.546
angles: 119.29 120.00 90.00
Fractional coordinates of all 16 atoms:
1 Sm 0.241 0.719 0.978
2 Sm 0.241 0.719 0.483
3 Sm 0.259 0.277 0.518
4 Sm 0.737 0.719 0.978
5 Sm 0.263 0.281 0.022
6 Sm 0.741 0.723 0.482
7 Sm 0.759 0.281 0.517
8 Sm 0.759 0.281 0.022
9 Si 0.500 0.500 0.000
10 Si 0.500 0.500 0.500
11 Si 0.000 0.500 0.500
12 Te 0.500 0.000 0.000
13 Te 0.500 0.000 0.500
14 Te 0.000 0.000 0.000
15 Te 0.000 0.000 0.500
16 S 0.000 0.500 0.000

Output
formation energy without anion corrections: -20.78 eV per formula unit
SG: R-3m (166)

***

Crystalline AlTe2N at its relaxed geometry. Source: Alexandria, functional PBE.

abc: 5.556 5.556 7.580
angles: 68.50 68.50 90.00
Fractional coordinates of all 8 atoms:
1 Te 0.547 0.125 0.250
2 Te 0.203 0.625 0.250
3 Te 0.375 0.453 0.750
4 Te 0.875 0.797 0.750
5 Al 0.000 0.000 0.000
6 Al 0.750 0.250 0.500
7 N 0.500 0.500 0.000
8 N 0.250 0.750 0.500

Output
formation energy without anion corrections: 2.59 eV per formula unit
SG: I-42d (122)
polymorph energy (0 for the lowest one): 0.00 kcal/mol of atoms

***

Crystalline CsAgCl at its relaxed geometry. Source: Alexandria, functional PBE.

abc: 7.492 7.492 13.489
angles: 73.88 73.88 60.00
Fractional coordinates of all 18 atoms:
1 Cs 0.740 0.740 0.781
2 Cs 0.260 0.260 0.219
3 Cs 0.050 0.050 0.849
4 Cs 0.950 0.950 0.151
5 Cs 0.168 0.168 0.497
6 Cs 0.832 0.832 0.503
7 Cl 0.250 0.709 0.332
8 Cl 0.709 0.250 0.332
9 Cl 0.709 0.709 0.332
10 Cl 0.750 0.291 0.668
11 Cl 0.291 0.750 0.668
12 Cl 0.291 0.291 0.668
13 Ag 0.381 0.381 0.858
14 Ag 0.619 0.619 0.142
15 Ag 0.000 0.500 0.000
16 Ag 0.500 0.000 0.000
17 Ag 0.500 0.500 0.000
18 Ag 0.500 0.500 0.500

Output
formation energy without anion corrections: -2.35 eV per formula unit
SG: R-3m (166)
polymorph energy (0 for the lowest one): 4.10 kcal/mol of atoms

***

Crystalline UCuNiRu at its relaxed geometry. Source: Alexandria, functional PBE.

abc: 4.453 4.453 4.453
angles: 60.00 60.00 60.00
Fractional coordinates of all 4 atoms:
1 Ru 0.250 0.250 0.250
2 U 0.000 0.000 0.000
3 Cu 0.500 0.500 0.500
4 Ni 0.750 0.750 0.750

Output
energy of formation from the pure elements: 0.0 meV/atom
SG: F-43m (216)

***

Crystalline SrYAg2 at its relaxed geometry. Source: Alexandria, functional PBE.

abc: 6.287 6.287 6.287
angles: 138.37 138.37 60.33
Fractional coordinates of all 4 atoms:
1 Ag 0.000 0.000 0.000
2 Ag 0.250 0.750 0.500
3 Sr 0.500 0.500 0.000
4 Y 0.750 0.250 0.500

Output
energy of formation from the pure elements: -22.3 meV/atom
SG: I-4m2 (119)
polymorph energy (0 for the lowest one): 6.21 kcal/mol of atoms

***

Crystalline LiTiAl at its relaxed geometry. Source: Alexandria, functional PBE.

abc: 4.445 4.445 5.649
angles: 90.00 90.00 119.98
Fractional coordinates of all 6 atoms:
1 Li 0.167 0.833 0.500
2 Li 0.833 0.167 0.500
3 Al 0.500 0.500 0.766
4 Al 0.500 0.500 0.234
5 Ti 0.825 0.175 0.000
6 Ti 0.175 0.825 0.000

Output
energy of formation from the pure elements: -109.8 meV/atom
SG: Cmmm (65)
polymorph energy (0 for the lowest one): 2.25 kcal/mol of atoms

***

Crystalline TiAgH2 at its relaxed geometry. Source: Alexandria, functional PBE.

abc: 3.845 3.845 3.845
angles: 60.00 60.00 60.00
Fractional coordinates of all 4 atoms:
1 H 0.250 0.250 0.250
2 H 0.750 0.750 0.750
3 Ag 0.500 0.500 0.500
4 Ti 0.000 0.000 0.000

Output
SG: Fm-3m (225)
polymorph energy (0 for the lowest one): 6.29 kcal/mol of atoms

***

Crystalline Ba2Zn2Au at its relaxed geometry. Source: Alexandria, functional PBE.

abc: 4.700 6.497 11.409
angles: 83.04 78.11 68.79
Fractional coordinates of all 10 atoms:
1 Ba 0.702 0.238 0.358
2 Ba 0.905 0.301 0.890
3 Ba 0.298 0.762 0.642
4 Ba 0.095 0.699 0.110
5 Zn 0.040 0.335 0.584
6 Zn 0.609 0.897 0.884
7 Zn 0.960 0.665 0.416
8 Zn 0.391 0.103 0.116
9 Au 0.571 0.178 0.679
10 Au 0.429 0.822 0.321

Output
energy of formation from the pure elements: -390.2 meV/atom
SG: C2/m (12)
polymorph energy (0 for the lowest one): 0.00 kcal/mol of atoms

***

Crystalline CaHf2BeO at its relaxed geometry. Source: Alexandria, functional PBE.

abc: 5.367 3.948 5.367
angles: 90.00 90.00 90.00
Fractional coordinates of all 5 atoms:
1 Be 0.500 0.500 0.500
2 Ca 0.000 0.000 0.000
3 Hf 0.000 0.000 0.500
4 Hf 0.500 0.000 0.000
5 O 0.000 0.500 0.000

Output
formation energy without anion corrections: 6.55 eV per formula unit
SG: P4/mmm (123)
polymorph energy (0 for the lowest one): 16.25 kcal/mol of atoms

***

Crystalline AcGe5 at its relaxed geometry. Source: Alexandria, functional PBE.

abc: 3.806 5.235 7.309
angles: 110.98 90.00 90.00
Fractional coordinates of all 6 atoms:
1 Ac 0.000 0.000 0.000
2 Ge 0.000 0.659 0.319
3 Ge 0.000 0.341 0.681
4 Ge 0.500 0.500 0.000
5 Ge 0.500 0.202 0.404
6 Ge 0.500 0.798 0.596

Output
energy of formation from the pure elements: -61.7 meV/atom
SG: Cmmm (65)
polymorph energy (0 for the lowest one): 4.59 kcal/mol of atoms

***

Crystalline TbDy2Ho9 at its relaxed geometry. Source: Alexandria, functional PBE.

abc: 4.981 4.981 14.949
angles: 90.00 90.00 90.00
Fractional coordinates of all 12 atoms:
1 Tb 0.000 0.000 0.000
2 Dy 0.000 0.000 0.333
3 Dy 0.000 0.000 0.667
4 Ho 0.500 0.500 0.000
5 Ho 0.500 0.500 0.334
6 Ho 0.500 0.500 0.666
7 Ho 0.500 0.000 0.167
8 Ho 0.500 0.000 0.500
9 Ho 0.500 0.000 0.833
10 Ho 0.000 0.500 0.167
11 Ho 0.000 0.500 0.500
12 Ho 0.000 0.500 0.833

Output
energy of formation from the pure elements: 21.4 meV/atom
SG: P4/mmm (123)
polymorph energy (0 for the lowest one): 0.00 kcal/mol of atoms

***

Crystalline K2PmZn2Se4 at its relaxed geometry. Source: Alexandria, functional PBE.

abc: 4.297 7.978 8.243
angles: 109.84 105.11 90.00
Fractional coordinates of all 9 atoms:
1 K 0.129 0.558 0.258
2 K 0.871 0.442 0.742
3 Pm 0.000 0.000 0.000
4 Zn 0.678 0.992 0.355
5 Zn 0.322 0.008 0.645
6 Se 0.203 0.179 0.405
7 Se 0.797 0.821 0.595
8 Se 0.524 0.762 0.048
9 Se 0.476 0.238 0.952

Output
formation energy without anion corrections: -9.83 eV per formula unit
SG: C2/m (12)

***

Crystalline CuHgSe2 at its relaxed geometry. Source: Alexandria, functional PBE.

abc: 15.981 4.121 8.967
angles: 90.00 134.13 90.00
Fractional coordinates of all 16 atoms:
1 Cu 0.257 0.073 0.934
2 Cu 0.743 0.927 0.066
3 Cu 0.243 0.573 0.566
4 Cu 0.757 0.427 0.434
5 Hg 0.640 0.440 0.552
6 Hg 0.360 0.560 0.448
7 Hg 0.860 0.940 0.948
8 Hg 0.140 0.060 0.052
9 Se 0.864 0.933 0.616
10 Se 0.136 0.067 0.384
11 Se 0.636 0.433 0.884
12 Se 0.364 0.567 0.116
13 Se 0.103 0.859 0.597
14 Se 0.897 0.141 0.403
15 Se 0.397 0.359 0.903
16 Se 0.603 0.641 0.097

Output
formation energy without anion corrections: 0.06 eV per formula unit
SG: P2_1/c (14)

***

| no. | VASP energy (eV/atom) |
| --- | --- |
| 1 | -8.143 |
| 2 | -4.038 |
| 3 | -4.675 |
| 4 | -1.919 |
| 5 | -3.757 |
| 6 | -4.966 |
| 7 | -8.546 |
| 8 | -5.719 |
| 9 | -3.942 |
| 10 | -2.633 |
| 11 | -7.610 |
| 12 | -3.484 |
| 13 | -4.627 |
| 14 | -4.072 |
| 15 | -2.324 |
| 16 | -4.809 |
| 17 | -4.594 |
| 18 | -4.565 |
| 19 | -3.696 |
| 20 | -2.826 |